[1]
Entry from Alexandria via LeMat-Bulk: a relaxed structure of Er2GaTcC (GGA-PBE).

Cell: 3.9805 4.8497 4.8497 Å, 90.00 90.00 90.00°
Sites, in units of the cell vectors:
Er: 0.0000 0.0000 0.5000
Er: 0.0000 0.5000 0.0000
Ga: 0.5000 0.5000 0.5000
Tc: 0.5000 0.0000 0.0000
C: 0.0000 0.0000 0.0000

## Properties
- Electronic total energy: -6.774 eV per atom
- ΔH_f (0 K): -0.426 eV/atom
- Crystal system: tetragonal
- Total magnetic moment: 0.00 μB per cell



[2]
Entry from Alexandria via LeMat-Bulk: a relaxed structure of ErGa2Tc2C (GGA-PBE).

Cell: 4.1513 4.1513 5.4787 Å, 90.00 90.00 90.00°
Sites, in units of the cell vectors:
Er: 0.0000 0.0000 0.5000
Ga: 0.5000 0.5000 0.7195
Ga: 0.5000 0.5000 0.2805
Tc: 0.5000 0.0000 0.0000
Tc: 0.0000 0.5000 0.0000
C: 0.0000 0.0000 0.0000

## Properties
- Electronic total energy: -7.119 eV per atom
- ΔH_f (0 K): -0.357 eV/atom
- Crystal system: tetragonal
- Total magnetic moment: 0.00 μB per cell



[3]
Entry from Alexandria via LeMat-Bulk: a relaxed structure of Er2Ga2Tc2C (GGA-PBE).

Cell: 3.6416 5.8545 7.3161 Å, 57.72 90.01 71.91°
Sites, in units of the cell vectors:
Er: 0.4302 0.1405 0.7165
Er: 0.5698 0.8595 0.2835
Ga: 0.8659 0.2685 0.3415
Ga: 0.1341 0.7315 0.6585
Tc: 0.8035 0.3927 0.9311
Tc: 0.1965 0.6073 0.0689
C: 0.0000 0.0000 0.0000

## Properties
- Electronic total energy: -6.966 eV per atom
- ΔH_f (0 K): -0.518 eV/atom
- Crystal system: monoclinic
- Total magnetic moment: 0.00 μB per cell



[4]
Entry from Alexandria via LeMat-Bulk: a relaxed structure of Er4TlGaC (GGA-PBE).

Cell: 6.8662 6.8692 8.0733 Å, 90.00 115.17 90.00°
Sites, in units of the cell vectors:
Er: 0.9199 0.2500 0.8397
Er: 0.4125 0.7500 0.8250
Er: 0.0801 0.7500 0.1603
Er: 0.5875 0.2500 0.1750
Er: 0.5000 0.5000 0.5000
Er: 0.0000 0.0000 0.5000
Er: 0.5000 0.0000 0.5000
Er: 0.0000 0.5000 0.5000
Tl: 0.6172 0.7500 0.2343
Tl: 0.3828 0.2500 0.7657
Ga: 0.1251 0.2500 0.2503
Ga: 0.8749 0.7500 0.7497
C: 0.2477 0.7500 0.4954
C: 0.7523 0.2500 0.5046

## Properties
- Electronic total energy: -5.083 eV per atom
- ΔH_f (0 K): -0.388 eV/atom
- Crystal system: orthorhombic
- Total magnetic moment: 0.00 μB per cell



[5]
Entry from Alexandria via LeMat-Bulk: a relaxed structure of Er2TmGaC (GGA-PBE).

Cell: 4.7742 4.8040 4.8040 Å, 90.00 90.00 90.00°
Sites, in units of the cell vectors:
Er: 0.0000 0.0000 0.5000
Er: 0.0000 0.5000 0.0000
Tm: 0.5000 0.0000 0.0000
Ga: 0.5000 0.5000 0.5000
C: 0.0000 0.0000 0.0000

## Properties
- Electronic total energy: -5.670 eV per atom
- ΔH_f (0 K): -0.501 eV/atom
- Crystal system: tetragonal
- Total magnetic moment: 0.00 μB per cell



[6]
Entry from Alexandria via LeMat-Bulk: a relaxed structure of GdEr3C (GGA-PBE).

Cell: 5.0057 5.0057 5.0057 Å, 90.00 90.00 90.00°
Each line ends with the local moment (μB).
Sites, in units of the cell vectors:
C: 0.0000 0.0000 0.0000  -0.05
Gd: 0.5000 0.5000 0.5000  -7.38
Er: 0.0000 0.5000 0.0000  -0.17
Er: 0.0000 0.0000 0.5000  -0.17
Er: 0.5000 0.0000 0.0000  -0.17

## Properties
- Electronic total energy: -7.430 eV per atom
- ΔH_f (0 K): -0.031 eV/atom
- Crystal system: cubic
- Total magnetic moment: 8.45 μB per cell



[7]
Entry from Alexandria via LeMat-Bulk: a relaxed structure of GdErC (GGA-PBE).

Cell: 3.5808 3.5808 6.2491 Å, 90.00 90.00 120.00°
Each line ends with the local moment (μB).
Sites, in units of the cell vectors:
C: 0.6667 0.3333 0.3390  -0.06
Gd: 0.0000 0.0000 0.1147  7.15
Er: 0.3333 0.6667 0.5462  0.18

## Properties
- Electronic total energy: -9.546 eV per atom
- ΔH_f (0 K): -0.257 eV/atom
- Crystal system: trigonal
- Total magnetic moment: 7.63 μB per cell



[8]
Entry from Alexandria via LeMat-Bulk: a relaxed structure of Gd2ErC (GGA-PBE).

Cell: 3.5582 3.5582 9.8594 Å, 79.60 79.60 60.00°
Each line ends with the local moment (μB).
Sites, in units of the cell vectors:
C: 0.5000 0.5000 0.5000  -0.10
Gd: 0.1193 0.1193 0.6420  7.17
Gd: 0.8807 0.8807 0.3580  7.17
Er: 0.0000 0.0000 0.0000  0.21

## Properties
- Electronic total energy: -10.532 eV per atom
- ΔH_f (0 K): -0.044 eV/atom
- Crystal system: trigonal
- Total magnetic moment: 15.10 μB per cell



[9]
Entry from Alexandria via LeMat-Bulk: a relaxed structure of Er4GeC (GGA-PBE).

Cell: 4.8542 6.5636 9.2182 Å, 90.00 105.27 90.00°
Sites, in units of the cell vectors:
Er: 0.9088 0.2756 0.8176
Er: 0.0912 0.7756 0.1824
Er: 0.4675 0.9268 0.9350
Er: 0.5325 0.4268 0.0650
Er: 0.7060 0.5703 0.4120
Er: 0.2940 0.0703 0.5880
Er: 0.6674 0.0636 0.3348
Er: 0.3326 0.5636 0.6652
Ge: 0.8568 0.8279 0.7136
Ge: 0.1432 0.3279 0.2864
C: 0.5895 0.7692 0.1791
C: 0.4105 0.2692 0.8209

## Properties
- Electronic total energy: -5.702 eV per atom
- ΔH_f (0 K): -0.353 eV/atom
- Crystal system: orthorhombic
- Total magnetic moment: 0.02 μB per cell



[10]
Entry from Alexandria via LeMat-Bulk: a relaxed structure of Er6Ge3C (GGA-PBE).

Cell: 6.3143 7.6224 9.8321 Å, 90.00 89.26 90.00°
Sites, in units of the cell vectors:
Er: 0.6792 0.1634 0.9382
Er: 0.6425 0.2068 0.5628
Er: 0.6364 0.4506 0.2676
Er: 0.3636 0.5494 0.7324
Er: 0.3575 0.7932 0.4372
Er: 0.3208 0.8366 0.0618
Er: 0.1792 0.3366 0.4382
Er: 0.1425 0.2932 0.0628
Er: 0.1364 0.0494 0.7676
Er: 0.8636 0.9506 0.2324
Er: 0.8575 0.7068 0.9372
Er: 0.8208 0.6634 0.5618
Ge: 0.5635 0.8940 0.7463
Ge: 0.5000 0.5000 0.0000
Ge: 0.4365 0.1060 0.2537
Ge: 0.0635 0.6060 0.2463
Ge: 0.0000 0.0000 0.5000
Ge: 0.9365 0.3940 0.7537
C: 0.5000 0.5000 0.5000
C: 0.0000 0.0000 0.0000

## Properties
- Electronic total energy: -5.665 eV per atom
- ΔH_f (0 K): -0.620 eV/atom
- Crystal system: monoclinic
- Total magnetic moment: 0.00 μB per cell



[11]
Entry from Alexandria via LeMat-Bulk: a relaxed structure of ErGeC (GGA-PBE).

Cell: 3.6664 5.1254 9.7114 Å, 52.92 61.16 44.30°
Sites, in units of the cell vectors:
Ge: 0.9524 0.4639 0.3283
Ge: 0.8648 0.9617 0.8303
Er: 0.8533 0.7060 0.5862
Er: 0.0217 0.2030 0.0887
C: 0.8501 0.2142 0.5781
C: 0.5956 0.4037 0.8881

## Properties
- Electronic total energy: -6.232 eV per atom
- ΔH_f (0 K): -0.098 eV/atom
- Crystal system: monoclinic
- Total magnetic moment: 0.00 μB per cell



[12]
Entry from Alexandria via LeMat-Bulk: a relaxed structure of Er5Ge3C (GGA-PBE).

Cell: 8.4181 8.4181 6.4154 Å, 90.00 90.00 120.00°
Sites, in units of the cell vectors:
Er: 0.6667 0.3333 0.0000
Er: 0.3333 0.6667 0.0000
Er: 0.3333 0.6667 0.5000
Er: 0.6667 0.3333 0.5000
Er: 0.7793 0.7793 0.7500
Er: 0.2207 0.0000 0.7500
Er: 0.0000 0.2207 0.7500
Er: 0.2207 0.2207 0.2500
Er: 0.7793 0.0000 0.2500
Er: 0.0000 0.7793 0.2500
Ge: 0.4104 0.4104 0.7500
Ge: 0.5896 0.0000 0.7500
Ge: 0.0000 0.5896 0.7500
Ge: 0.5896 0.5896 0.2500
Ge: 0.4104 0.0000 0.2500
Ge: 0.0000 0.4104 0.2500
C: 0.0000 0.0000 0.0000
C: 0.0000 0.0000 0.5000

## Properties
- Electronic total energy: -5.842 eV per atom
- ΔH_f (0 K): -0.743 eV/atom
- Crystal system: hexagonal
- Total magnetic moment: 0.00 μB per cell